[1]
A plane-wave DFT calculation with PBE was carried out for an optimized crystal structure of ReP2Se.

Output
Formation energy (no corrections) in meV per atom: 417
Spin magnetization in μB/f.u.: 0.0
VASP energy in eV/atom: -6.271
Symmetry: P2/m (10)

abc: 4.048 5.884 5.035
angles: 31.38 90.00 90.00
Sites, in units of the cell vectors:
P  0.000  0.000  0.000
P  0.500  0.500  0.000
Re  0.500  0.500  0.500
Se  0.000  0.000  0.500

---

[2]
A plane-wave DFT calculation with PBE was carried out for an optimized crystal structure of Ba4Li3Mg.

Output
Formation energy from the elements in eV/atom: 0.020
ΔE to the lowest computed polymorph in eV/atom: 0.000
Spin magnetization in μB/f.u.: 0.0
VASP energy in eV/atom: -1.858
Symmetry: P4/mmm (123)

abc: 4.383 4.383 17.854
angles: 90.00 90.00 90.00
Sites, in units of the cell vectors:
Li  0.500  0.500  0.752
Li  0.500  0.500  0.500
Li  0.500  0.500  0.248
Ba  0.000  0.000  0.376
Ba  0.000  0.000  0.122
Ba  0.000  0.000  0.878
Ba  0.000  0.000  0.624
Mg  0.500  0.500  0.000

---

[3]
A plane-wave DFT calculation with PBE was carried out for an optimized crystal structure of PaH6PdRh.

Output
Spin magnetization in μB/f.u.: 0.8
VASP energy in eV/atom: -4.892
Symmetry: P-6m2 (187)

abc: 4.675 4.675 4.187
angles: 90.00 90.00 60.00
Sites, in units of the cell vectors:
H  0.493  0.014  0.784
H  0.014  0.493  0.216
H  0.493  0.493  0.216
H  0.493  0.493  0.784
H  0.014  0.493  0.784
H  0.493  0.014  0.216
Rh  0.333  0.333  0.500
Pd  0.667  0.667  0.500
Pa  0.000  0.000  0.000

---

[4]
A plane-wave DFT calculation with PBE was carried out for an optimized crystal structure of AgAs2Br.

Output
ΔE to the lowest computed polymorph in eV/atom: 0.361
Formation energy (no corrections) in meV per atom: 230
Spin magnetization in μB/f.u.: 0.0
VASP energy in eV/atom: -3.226
Symmetry: P4/mmm (123)

abc: 4.005 4.003 6.102
angles: 90.00 90.00 90.00
Sites, in units of the cell vectors:
Ag  0.500  0.500  0.750
As  0.000  0.000  0.935
As  0.000  0.000  0.565
Br  0.500  0.500  0.250

---

[5]
A plane-wave DFT calculation with PBE was carried out for an optimized crystal structure of La6DyMg.

Output
Formation energy from the elements in eV/atom: -0.001
ΔE to the lowest computed polymorph in eV/atom: 0.010
Spin magnetization in μB/f.u.: 0.0
VASP energy in eV/atom: -4.471
Symmetry: P-1 (2)

abc: 6.291 8.124 8.158
angles: 72.62 97.59 50.21
Sites, in units of the cell vectors:
La  0.252  0.245  0.754
La  0.868  0.885  0.628
La  0.378  0.381  0.124
La  0.748  0.755  0.246
La  0.132  0.115  0.372
La  0.622  0.619  0.876
Dy  0.500  0.500  0.500
Mg  0.000  0.000  0.000

---

[6]
A plane-wave DFT calculation with PBE was carried out for an optimized crystal structure of K2Cd3Hg8.

Output
Formation energy from the elements in eV/atom: -0.130
Spin magnetization in μB/f.u.: 0.0
VASP energy in eV/atom: -0.695
Symmetry: C2/m (12)

abc: 6.334 6.785 9.600
angles: 110.69 101.49 90.00
Sites, in units of the cell vectors:
K  0.701  0.813  0.627
K  0.299  0.187  0.373
Hg  0.852  0.283  0.567
Hg  0.148  0.717  0.433
Hg  0.652  0.428  0.855
Hg  0.760  0.384  0.258
Hg  0.240  0.126  0.742
Hg  0.760  0.874  0.258
Hg  0.240  0.616  0.742
Hg  0.348  0.572  0.145
Cd  0.000  0.221  0.000
Cd  0.500  0.000  0.000
Cd  0.000  0.779  0.000

---

[7]
A plane-wave DFT calculation with PBE was carried out for an optimized crystal structure of CoB.

Output
Formation energy from the elements in eV/atom: -0.007
Spin magnetization in μB/f.u.: 0.5
VASP energy in eV/atom: -6.898
Symmetry: P6_3/m (176)

abc: 5.410 5.410 3.984
angles: 90.00 90.00 120.00
Sites, in units of the cell vectors:
B  0.515  0.661  0.750
B  0.661  0.146  0.250
B  0.339  0.854  0.750
B  0.146  0.485  0.750
B  0.854  0.515  0.250
B  0.485  0.339  0.250
Co  0.778  0.096  0.750
Co  0.096  0.319  0.250
Co  0.681  0.778  0.250
Co  0.319  0.222  0.750
Co  0.222  0.904  0.250
Co  0.904  0.681  0.750

---

[8]
A plane-wave DFT calculation with PBE was carried out for an optimized crystal structure of PmNdCoBr.

Output
Formation energy (no corrections) in meV per atom: -710
Spin magnetization in μB/f.u.: 0.0
VASP energy in eV/atom: -5.285
Symmetry: R3m (160)

abc: 3.968 3.968 8.180
angles: 90.01 104.03 120.00
Sites, in units of the cell vectors:
Nd  0.510  0.153  0.678
Br  0.966  0.381  0.361
Pm  0.098  0.947  0.060
Co  0.305  0.550  0.870

---

[9]
A plane-wave DFT calculation with PBE was carried out for an optimized crystal structure of Zr2Ga2Bi.

Output
Formation energy from the elements in eV/atom: -0.253
ΔE to the lowest computed polymorph in eV/atom: 0.048
Spin magnetization in μB/f.u.: 0.0
VASP energy in eV/atom: -5.659
Symmetry: P4/mbm (127)

abc: 7.570 7.570 3.943
angles: 90.00 90.00 90.00
Sites, in units of the cell vectors:
Bi  0.500  0.500  0.000
Bi  0.000  0.000  0.000
Zr  0.335  0.835  0.000
Zr  0.165  0.335  0.000
Zr  0.835  0.665  0.000
Zr  0.665  0.165  0.000
Ga  0.872  0.372  0.500
Ga  0.128  0.628  0.500
Ga  0.628  0.872  0.500
Ga  0.372  0.128  0.500

---

[10]
A plane-wave DFT calculation with PBE was carried out for an optimized crystal structure of SrNdS2.

Output
ΔE to the lowest computed polymorph in eV/atom: 0.095
Formation energy (no corrections) in meV per atom: -1957
Spin magnetization in μB/f.u.: 0.0
VASP energy in eV/atom: -5.633
Symmetry: R3m (160)

abc: 4.065 4.065 7.595
angles: 74.48 74.48 60.00
Sites, in units of the cell vectors:
S  0.080  0.080  0.761
S  0.255  0.255  0.235
Sr  0.496  0.496  0.513
Nd  0.670  0.670  0.991

---

[11]
A plane-wave DFT calculation with PBE was carried out for an optimized crystal structure of PPd6.

Output
Formation energy from the elements in eV/atom: -0.162
ΔE to the lowest computed polymorph in eV/atom: 0.141
Spin magnetization in μB/f.u.: 0.0
VASP energy in eV/atom: -5.386
Symmetry: Amm2 (38)

abc: 5.183 5.183 7.267
angles: 90.00 90.00 146.32
Sites, in units of the cell vectors:
Pd  0.854  0.146  0.316
Pd  0.436  0.564  0.000
Pd  0.557  0.443  0.500
Pd  0.131  0.869  0.804
Pd  0.131  0.869  0.196
Pd  0.854  0.146  0.684
P  0.751  0.249  0.000

---

[12]
A plane-wave DFT calculation with PBE was carried out for an optimized crystal structure of Cs5I4N2.

Output
Formation energy (no corrections) in meV per atom: -1135
Spin magnetization in μB/f.u.: 1.0
VASP energy in eV/atom: -3.600
Symmetry: P2/m (10)

abc: 4.796 10.608 10.206
angles: 91.74 90.00 90.00
Sites, in units of the cell vectors:
I  0.500  0.799  0.893
I  0.500  0.385  0.700
I  0.500  0.615  0.300
I  0.500  0.201  0.107
Cs  0.000  0.094  0.798
Cs  0.000  0.500  0.000
Cs  0.000  0.322  0.392
Cs  0.000  0.906  0.202
Cs  0.000  0.678  0.608
N  0.000  0.053  0.483
N  0.000  0.947  0.517

---

[13]
A plane-wave DFT calculation with PBE was carried out for an optimized crystal structure of Zr3FeOs2.

Output
Formation energy from the elements in eV/atom: -0.412
Spin magnetization in μB/f.u.: 0.3
VASP energy in eV/atom: -9.839
Symmetry: P4/mmm (123)

abc: 3.254 3.254 9.782
angles: 90.00 90.00 90.00
Sites, in units of the cell vectors:
Zr  0.000  0.000  0.340
Zr  0.000  0.000  0.660
Zr  0.000  0.000  0.000
Fe  0.500  0.500  0.500
Os  0.500  0.500  0.830
Os  0.500  0.500  0.170

---

[14]
A plane-wave DFT calculation with PBE was carried out for an optimized crystal structure of PaBrF6.

Output
Formation energy (no corrections) in meV per atom: -2748
Spin magnetization in μB/f.u.: 2.0
VASP energy in eV/atom: -5.548
Symmetry: Fm-3m (225)

abc: 6.836 6.836 6.836
angles: 60.00 60.00 60.00
Sites, in units of the cell vectors:
Pa  0.000  0.000  0.000
F  0.218  0.782  0.218
F  0.782  0.218  0.782
F  0.218  0.782  0.782
F  0.782  0.218  0.218
F  0.218  0.218  0.782
F  0.782  0.782  0.218
Br  0.500  0.500  0.500

---

[15]
A plane-wave DFT calculation with PBE was carried out for an optimized crystal structure of TbPuInHg.

Output
Formation energy from the elements in eV/atom: -0.265
Spin magnetization in μB/f.u.: 6.4
VASP energy in eV/atom: -5.766
Symmetry: F-43m (216)

abc: 5.340 5.340 5.340
angles: 60.00 60.00 60.00
Sites, in units of the cell vectors:
Hg  0.750  0.750  0.750
Pu  0.500  0.500  0.500
Tb  0.000  0.000  0.000
In  0.250  0.250  0.250

---

[16]
A plane-wave DFT calculation with PBE was carried out for an optimized crystal structure of MnFeIr2.

Output
Formation energy from the elements in eV/atom: 0.174
ΔE to the lowest computed polymorph in eV/atom: 0.364
Spin magnetization in μB/f.u.: 7.0
VASP energy in eV/atom: -8.664
Symmetry: F-43m (216)

abc: 4.288 4.288 4.288
angles: 60.00 60.00 60.00
Sites, in units of the cell vectors:
Ir  0.000  0.000  0.000
Ir  0.250  0.250  0.250
Fe  0.500  0.500  0.500
Mn  0.750  0.750  0.750

---

[17]
A plane-wave DFT calculation with PBE was carried out for an optimized crystal structure of BeIr2Pb.

Output
Formation energy from the elements in eV/atom: 0.247
ΔE to the lowest computed polymorph in eV/atom: 0.127
Spin magnetization in μB/f.u.: 0.0
VASP energy in eV/atom: -6.042
Symmetry: P4mm (99)

abc: 2.952 2.952 8.565
angles: 90.00 90.00 90.00
Sites, in units of the cell vectors:
Be  0.500  0.500  0.870
Ir  0.500  0.500  0.201
Ir  0.000  0.000  0.984
Pb  0.000  0.000  0.445

---

[18]
A plane-wave DFT calculation with PBE was carried out for an optimized crystal structure of BaCr2Hg.

Output
Formation energy from the elements in eV/atom: 0.334
Spin magnetization in μB/f.u.: 0.2
VASP energy in eV/atom: -5.034
Symmetry: R3m (160)

abc: 6.690 6.690 6.690
angles: 40.02 40.02 40.02
Sites, in units of the cell vectors:
Ba  0.745  0.745  0.745
Cr  0.941  0.941  0.941
Cr  0.269  0.269  0.269
Hg  0.545  0.545  0.545

---

[19]
A plane-wave DFT calculation with PBE was carried out for an optimized crystal structure of NaSc2MnS4.

Output
Formation energy (no corrections) in meV per atom: -1421
Spin magnetization in μB/f.u.: 4.1
VASP energy in eV/atom: -6.379
Symmetry: I-4m2 (119)

abc: 5.264 5.264 6.484
angles: 113.95 113.95 90.00
Sites, in units of the cell vectors:
S  0.497  0.997  0.994
S  0.758  0.758  0.517
S  0.003  0.503  0.006
S  0.242  0.242  0.483
Mn  0.750  0.250  0.500
Sc  0.000  0.000  0.000
Sc  0.250  0.750  0.500
Na  0.500  0.500  0.000

---

[20]
A plane-wave DFT calculation with PBE was carried out for an optimized crystal structure of SrPSeN2.

Output
ΔE to the lowest computed polymorph in eV/atom: 1.357
Formation energy (no corrections) in meV per atom: 1773
Spin magnetization in μB/f.u.: 3.0
VASP energy in eV/atom: -3.672
Symmetry: P4/mmm (123)

abc: 4.749 4.749 6.257
angles: 90.00 90.00 90.00
Sites, in units of the cell vectors:
N  0.500  0.000  0.000
N  0.000  0.500  0.000
Sr  0.000  0.000  0.000
Se  0.000  0.000  0.500
P  0.500  0.500  0.500

---

One value per record, in order, for calculated volume: 15.6, 42.9, 8.8, 24.5, 34.3, 29.0, 8.4, 26.8, 22.6, 25.8, 15.5, 47.2, 17.3, 28.2, 26.9, 13.9, 18.7, 27.9, 18.4, 28.2 A^3/atom.